(A)
PBE Tm3C2, relaxed; volume = 99.58 Å³/cell; space group = No. 164
1.0
3.566 0.000 0.000
-1.783 3.089 0.000
0.000 0.000 9.040
Tm C
3 2
Cartesian
0.000 0.000 0.000
0.000 2.059 2.679
1.783 1.030 6.361
0.000 2.059 7.480
1.783 1.030 1.560

***

(B)
PBE Tm3C2, relaxed; volume = 185.23 Å³/cell; space group = No. 167
1.0
3.044 1.758 5.770
-3.044 1.758 5.770
0.000 -3.515 5.770
Tm C
6 4
Cartesian
-2.091 -0.107 7.212
-0.953 -1.865 10.097
1.138 -1.758 7.212
-1.138 1.758 10.097
0.953 1.865 7.212
2.091 0.107 10.097
0.000 0.000 2.699
0.000 0.000 5.956
0.000 0.000 11.354
0.000 0.000 14.611

***

Ordering by calculated energy gives the sequence (A), (B), with the first entry being the most stable.

***

(A)
PBE TmUC, relaxed; volume = 113.43 Å³/cell; space group = No. 63
1.0
1.552 -6.163 0.000
1.552 6.163 0.000
0.000 0.000 5.930
Tm U C
2 2 2
Cartesian
1.552 4.068 4.448
1.552 -4.068 1.483
1.552 5.167 1.483
1.552 -5.167 4.448
1.552 0.000 0.000
1.552 0.000 2.965

***

(B)
PBE TmUC, relaxed; volume = 59.62 Å³/cell; space group = No. 156
1.0
3.351 0.000 0.000
-1.676 2.902 0.000
0.000 0.000 6.131
Tm U C
1 1 1
Cartesian
0.000 0.000 0.000
0.000 1.935 2.832
1.676 0.967 1.479

***

Ordering by calculated energy gives the sequence (B), (A), with the first entry being the most stable.

***

(A)
PBE TmVC, relaxed; volume = 46.07 Å³/cell; space group = No. 187
1.0
3.556 0.000 0.000
-1.778 3.080 0.000
0.000 0.000 4.207
Tm V C
1 1 1
Cartesian
0.000 0.000 0.000
0.000 2.053 2.103
1.778 1.027 2.103

***

(B)
PBE TmVC, relaxed; volume = 93.78 Å³/cell; space group = No. 109
1.0
-2.268 2.268 4.558
2.268 -2.268 4.558
2.268 2.268 -4.558
Tm V C
2 2 2
Cartesian
0.000 0.000 0.000
0.000 2.268 2.279
2.268 0.000 2.151
0.000 0.000 4.430
2.268 0.000 0.239
0.000 0.000 2.518

***

Ordering by calculated energy gives the sequence (B), (A), with the first entry being the most stable.

***

(A)
PBE TmWC2, relaxed; volume = 48.93 Å³/cell; space group = No. 166
1.0
1.605 0.927 5.483
-1.605 0.927 5.483
0.000 -1.853 5.483
Tm W C
1 1 2
Cartesian
0.000 0.000 0.000
0.000 0.000 8.224
0.000 0.000 3.942
0.000 0.000 12.506

***

(B)
PBE TmWC2, relaxed; volume = 49.86 Å³/cell; space group = No. 160
1.0
1.585 0.915 5.730
-1.585 0.915 5.730
0.000 -1.830 5.730
Tm W C
1 1 2
Cartesian
0.000 0.000 0.000
0.000 0.000 3.022
0.000 0.000 9.917
0.000 0.000 13.197

***

Ordering by calculated energy gives the sequence (A), (B), with the first entry being the most stable.

***

(A)
PBE TmWC2, relaxed; volume = 227.51 Å³/cell; space group = No. 62
1.0
5.064 0.000 0.000
0.000 3.388 0.000
0.000 0.000 13.260
Tm W C
4 4 8
Cartesian
1.217 0.847 0.883
1.315 2.541 7.513
3.749 0.847 5.747
3.847 2.541 12.377
1.085 2.541 4.361
1.447 0.847 10.991
3.618 2.541 2.269
3.979 0.847 8.899
0.847 0.847 9.091
1.267 0.847 5.577
1.265 2.541 12.207
1.685 2.541 2.461
3.380 0.847 10.799
3.799 0.847 1.053
3.798 2.541 7.683
4.217 2.541 4.169

***

(B)
PBE TmWC2, relaxed; volume = 203.93 Å³/cell; space group = No. 62
1.0
5.682 0.000 0.000
0.000 3.336 0.000
0.000 0.000 10.760
Tm W C
4 4 8
Cartesian
0.488 0.834 1.476
2.353 2.502 6.856
3.329 0.834 3.904
5.194 2.502 9.284
0.561 2.502 4.196
2.280 0.834 9.576
3.402 2.502 1.184
5.121 0.834 6.564
0.904 0.834 8.102
1.304 0.834 5.238
1.537 2.502 10.618
1.937 2.502 2.723
3.745 0.834 8.037
4.145 0.834 0.142
4.378 2.502 5.522
4.778 2.502 2.657

***

Ordering by calculated energy gives the sequence (B), (A), with the first entry being the most stable.

***

(A)
PBE YTmC, relaxed; volume = 67.75 Å³/cell; space group = No. 156
1.0
3.561 0.000 0.000
-1.780 3.084 0.000
0.000 0.000 6.170
Y Tm C
1 1 1
Cartesian
0.000 0.000 0.000
0.000 2.056 3.490
1.780 1.028 4.784

***

(B)
PBE YTmC, relaxed; volume = 130.94 Å³/cell; space group = No. 74
1.0
-2.486 2.533 5.198
2.486 -2.533 5.198
2.486 2.533 -5.198
Y Tm C
2 2 2
Cartesian
0.000 1.267 1.152
2.486 1.267 4.046
2.486 1.267 -1.457
0.000 1.267 6.655
2.486 -1.267 3.885
0.000 3.800 1.312

***

Ordering by calculated energy gives the sequence (A), (B), with the first entry being the most stable.

***

(A)
PBE Tm3ZnC, relaxed; volume = 212.89 Å³/cell; space group = No. 12
1.0
5.593 -2.492 0.000
5.593 2.492 0.000
-2.456 0.000 7.636
Tm Zn C
6 2 2
Cartesian
0.516 0.000 1.545
0.251 0.000 4.901
3.831 0.000 0.594
4.899 0.000 7.041
8.480 0.000 2.735
8.214 0.000 6.090
3.211 0.000 4.346
5.519 0.000 3.290
-0.771 0.000 7.047
9.501 0.000 0.588

***

(B)
PBE Tm3ZnC, relaxed; volume = 110.41 Å³/cell; space group = No. 221
1.0
4.797 0.000 0.000
0.000 4.797 0.000
0.000 0.000 4.797
Tm Zn C
3 1 1
Cartesian
0.000 0.000 2.399
0.000 2.399 0.000
2.399 0.000 0.000
2.399 2.399 2.399
0.000 0.000 0.000

***

Ordering by calculated energy gives the sequence (A), (B), with the first entry being the most stable.

***

(A)
PBE TmZrC2, relaxed; volume = 58.57 Å³/cell; space group = No. 160
1.0
1.719 0.993 5.720
-1.719 0.993 5.720
0.000 -1.985 5.720
Tm Zr C
1 1 2
Cartesian
0.000 0.000 0.000
0.000 0.000 14.172
0.000 0.000 7.173
0.000 0.000 9.803

***

(B)
PBE TmZrC2, relaxed; volume = 56.79 Å³/cell; space group = No. 166
1.0
1.705 0.984 5.641
-1.705 0.984 5.641
0.000 -1.969 5.641
Tm Zr C
1 1 2
Cartesian
0.000 0.000 0.000
0.000 0.000 8.461
0.000 0.000 4.141
0.000 0.000 12.782

***

Ordering by calculated energy gives the sequence (B), (A), with the first entry being the most stable.

***

(A)
PBE U4C3, relaxed; volume = 108.59 Å³/cell; space group = No. 12
1.0
5.728 -1.629 0.000
5.728 1.629 0.000
-2.338 0.000 5.820
U C
4 3
Cartesian
0.123 0.000 2.627
3.950 0.000 0.035
5.168 0.000 5.785
8.996 0.000 3.194
0.000 0.000 0.000
2.272 0.000 1.820
6.846 0.000 4.001

***

(B)
PBE U4C3, relaxed; volume = 105.96 Å³/cell; space group = No. 166
1.0
1.667 0.962 11.012
-1.667 0.962 11.012
0.000 -1.924 11.012
U C
4 3
Cartesian
0.000 0.000 3.971
0.000 0.000 10.052
0.000 0.000 22.984
0.000 0.000 29.066
0.000 0.000 13.479
0.000 0.000 16.518
0.000 0.000 19.558

***

Ordering by calculated energy gives the sequence (A), (B), with the first entry being the most stable.

***

(A)
PBE UWC, relaxed; volume = 89.31 Å³/cell; space group = No. 186
1.0
3.005 0.000 0.000
-1.502 2.602 0.000
0.000 0.000 11.424
U W C
2 2 2
Cartesian
0.000 1.735 0.000
1.502 0.867 5.712
0.000 0.000 2.848
0.000 0.000 8.559
0.000 1.735 4.045
1.502 0.867 9.757

***

(B)
PBE UWC, relaxed; volume = 44.55 Å³/cell; space group = No. 156
1.0
3.012 0.000 0.000
-1.506 2.609 0.000
0.000 0.000 5.669
U W C
1 1 1
Cartesian
0.000 0.000 0.000
1.506 0.870 2.800
0.000 1.739 3.992

***

Ordering by calculated energy gives the sequence (B), (A), with the first entry being the most stable.

***

(A)
PBE YUC, relaxed; volume = 80.64 Å³/cell; space group = No. 187
1.0
3.730 0.000 0.000
-1.865 3.231 0.000
0.000 0.000 6.691
Y U C
1 1 1
Cartesian
0.000 0.000 0.000
0.000 0.000 3.346
1.865 1.077 3.346

***

(B)
PBE YUC, relaxed; volume = 61.81 Å³/cell; space group = No. 156
1.0
3.399 0.000 0.000
-1.699 2.944 0.000
0.000 0.000 6.178
Y U C
1 1 1
Cartesian
0.000 0.000 0.000
1.699 0.981 2.858
0.000 1.962 1.551

***

Ordering by calculated energy gives the sequence (B), (A), with the first entry being the most stable.

***

(A)
PBE V3C, relaxed; volume = 345.64 Å³/cell; space group = No. 86
1.0
8.785 0.000 0.000
0.000 8.785 0.000
0.000 0.000 4.479
V C
24 8
Cartesian
0.322 4.998 1.006
0.605 8.462 3.245
0.986 1.966 0.074
1.253 5.819 3.140
1.427 7.531 0.900
1.966 3.406 2.165
2.426 0.986 2.165
2.966 5.646 0.900
3.139 7.358 3.140
3.406 2.426 0.074
3.787 4.715 3.245
4.070 8.179 1.006
4.715 0.605 3.473
4.998 4.070 1.233
5.378 6.358 4.405
5.646 1.427 1.339
5.819 3.139 3.579
6.358 7.799 2.314
6.819 5.378 2.314
7.358 1.253 3.579
7.531 2.966 1.339
7.799 6.819 4.405
8.179 0.322 1.233
8.462 3.787 3.473
0.359 1.858 2.416
1.858 4.034 4.303
2.535 0.359 4.303
4.034 2.535 2.416
4.751 6.250 2.063
6.250 8.426 0.176
6.927 4.751 0.176
8.426 6.927 2.063

***

(B)
PBE V3C, relaxed; volume = 48.77 Å³/cell; space group = No. 25
1.0
2.639 0.000 0.000
0.000 2.661 0.000
0.000 0.000 6.946
V C
3 1
Cartesian
0.000 0.000 0.000
0.000 1.330 2.482
1.320 1.330 4.902
1.320 0.000 3.373

***

(C)
PBE V3C, relaxed; volume = 45.76 Å³/cell; space group = No. 44
1.0
-1.432 3.416 2.338
1.432 -3.416 2.338
1.432 3.416 -2.338
V C
3 1
Cartesian
0.000 0.000 0.000
1.432 2.113 0.149
0.000 1.303 2.487
1.432 0.000 1.448

***

(D)
PBE V3C, relaxed; volume = 87.22 Å³/cell; space group = No. 63
1.0
1.497 -4.258 0.000
1.497 4.258 0.000
0.000 0.000 6.841
V C
6 2
Cartesian
1.497 3.853 5.131
1.497 1.275 3.812
1.497 1.275 6.449
1.497 -1.275 0.391
1.497 -1.275 3.029
1.497 -3.853 1.710
1.497 2.190 1.710
1.497 -2.190 5.131

***

Ordering by calculated energy gives the sequence (D), (A), (C), (B), with the first entry being the most stable.